# 1
Tb5Dy3Tm4: optimized geometry, PBE.

abc: 7.0536 11.1424 12.7017
angles: 151.28 56.30 129.30
With the nearest neighbours (Å) after each atom.
Atoms (fractional coordinates):
Tb  0.3343  0.6674  0.8331  3 Tb 3.51-3.53, 5 Tm 3.51-3.53, 4 Dy 3.51-3.53
Tb  0.5000  0.0000  0.5000  4 Tb 3.52, 4 Dy 3.53, 4 Tm 3.53
Tb  0.7492  0.5009  0.0008  6 Tb 3.51-3.54, 3 Dy 3.52-3.53, 3 Tm 3.53
Tb  0.2508  0.4991  0.9992  6 Tb 3.51-3.54, 3 Dy 3.52-3.53, 3 Tm 3.53
Tb  0.6657  0.3326  0.1669  3 Tb 3.51-3.53, 5 Tm 3.51-3.53, 4 Dy 3.51-3.53
Dy  0.5852  0.1679  0.3336  6 Tm 3.50-3.54, 5 Tb 3.51-3.53, 1 Dy 3.53
Dy  0.0000  0.0000  0.5000  8 Tb 3.52-3.53, 2 Dy 3.53, 2 Tm 3.53
Dy  0.4148  0.8321  0.6664  6 Tm 3.50-3.54, 5 Tb 3.51-3.53, 1 Dy 3.53
Tm  0.9164  0.8321  0.6666  4 Dy 3.50-3.54, 3 Tm 3.50-3.53, 5 Tb 3.51-3.53
Tm  0.8344  0.6682  0.8338  4 Tm 3.50-3.53, 3 Dy 3.51-3.52, 5 Tb 3.53
Tm  0.1656  0.3318  0.1662  4 Tm 3.50-3.53, 3 Dy 3.51-3.52, 5 Tb 3.53
Tm  0.0836  0.1679  0.3334  4 Dy 3.50-3.54, 3 Tm 3.50-3.53, 5 Tb 3.51-3.53

Properties
Magnetic moment = 0.00 μB/cell
DOS at the Fermi energy = 15.22 states/eV/f.u.
Crystal system = triclinic
Energy above the most stable polymorph in this dataset = 0 meV per atom
Energy of formation = 0.0191 eV per atom
Volume = 371.2 Å³/cell

=====

# 2
Tb3Dy6Tm: optimized geometry, PBE.

abc: 6.3308 11.4922 11.4922
angles: 130.81 90.00 90.00
With the nearest neighbours (Å) after each atom.
Atoms (fractional coordinates):
Tb  0.4890  0.9593  0.7039  2 Tb 3.22-3.39, 5 Dy 3.23-3.55, 1 Tm 3.47
Tb  0.9890  0.7039  0.9593  2 Tb 3.22-3.39, 5 Dy 3.23-3.55, 1 Tm 3.47
Tb  0.0910  0.4207  0.5793  5 Dy 3.14-3.50, 2 Tb 3.39
Tb  0.5910  0.5793  0.4207  5 Dy 3.14-3.50, 2 Tb 3.39
Tb  0.9890  0.0407  0.2961  2 Tb 3.22-3.39, 5 Dy 3.23-3.55, 1 Tm 3.47
Tb  0.4890  0.2961  0.0407  2 Tb 3.22-3.39, 5 Dy 3.23-3.55, 1 Tm 3.47
Dy  0.0667  0.7435  0.6214  3 Tb 3.34-3.50, 4 Dy 3.49-3.65, 1 Tm 3.69
Dy  0.5667  0.6214  0.7435  3 Tb 3.34-3.50, 4 Dy 3.49-3.65, 1 Tm 3.69
Dy  0.3279  0.4571  0.8948  2 Tb 3.23-3.37, 3 Dy 3.37-3.55, 2 Tm 3.54-3.62
Dy  0.8279  0.8948  0.4571  2 Tb 3.23-3.37, 3 Dy 3.37-3.55, 2 Tm 3.54-3.62
Dy  0.3197  0.9852  0.0148  4 Dy 3.23-3.55, 1 Tm 3.29, 4 Tb 3.54-3.55
Dy  0.7910  0.3012  0.6988  1 Tb 3.14, 1 Tm 3.27, 2 Dy 3.41
Dy  0.2910  0.6988  0.3012  1 Tb 3.14, 1 Tm 3.27, 2 Dy 3.41
Dy  0.8197  0.0148  0.9852  4 Dy 3.23-3.55, 1 Tm 3.29, 4 Tb 3.54-3.55
Dy  0.3279  0.1052  0.5429  2 Tb 3.23-3.37, 3 Dy 3.37-3.55, 2 Tm 3.54-3.62
Dy  0.8279  0.5429  0.1052  2 Tb 3.23-3.37, 3 Dy 3.37-3.55, 2 Tm 3.54-3.62
Dy  0.0667  0.3786  0.2565  3 Tb 3.34-3.50, 4 Dy 3.49-3.65, 1 Tm 3.69
Dy  0.5667  0.2565  0.3786  3 Tb 3.34-3.50, 4 Dy 3.49-3.65, 1 Tm 3.69
Tm  0.0165  0.1604  0.8396  6 Dy 3.27-3.62, 2 Tb 3.47
Tm  0.5165  0.8396  0.1604  6 Dy 3.27-3.62, 2 Tb 3.47

Properties
Magnetic moment = 0.00 μB/cell
DOS at the Fermi energy = 16.04 states/eV/f.u.
Crystal system = orthorhombic
Energy above the most stable polymorph in this dataset = 0 meV per atom
Energy of formation = 0.1220 eV per atom
Volume = 632.8 Å³/cell

=====

# 3
Tb3Dy6Tm2: optimized geometry, PBE.

abc: 3.5319 3.5319 31.6784
angles: 86.80 86.80 60.00
With the nearest neighbours (Å) after each atom.
Atoms (fractional coordinates):
Tb  0.0000  0.0000  0.0000  6 Tb 3.53, 6 Dy 3.54
Tb  0.7276  0.7276  0.8172  6 Tb 3.53, 6 Dy 3.54
Tb  0.2724  0.2724  0.1828  6 Tb 3.53, 6 Dy 3.54
Dy  0.9085  0.9085  0.2744  3 Tm 3.50, 6 Dy 3.53, 3 Tb 3.54
Dy  0.0915  0.0915  0.7256  3 Tm 3.50, 6 Dy 3.53, 3 Tb 3.54
Dy  0.8181  0.8181  0.5456  3 Tm 3.50, 9 Dy 3.53
Dy  0.1819  0.1819  0.4544  3 Tm 3.50, 9 Dy 3.53
Dy  0.6362  0.6362  0.0914  6 Dy 3.53, 6 Tb 3.54
Dy  0.3638  0.3638  0.9086  6 Dy 3.53, 6 Tb 3.54
Tm  0.5452  0.5452  0.3644  6 Dy 3.50, 6 Tm 3.53
Tm  0.4548  0.4548  0.6356  6 Dy 3.50, 6 Tm 3.53

Properties
Magnetic moment = 0.00 μB/cell
DOS at the Fermi energy = 14.70 states/eV/f.u.
Crystal system = trigonal
Energy above the most stable polymorph in this dataset = 0 meV per atom
Energy of formation = 0.0191 eV per atom
Volume = 341.5 Å³/cell

=====

# 4
Tb3Dy3Tm: optimized geometry, PBE.

abc: 6.1464 6.1464 14.5233
angles: 77.78 77.78 60.00
With the nearest neighbours (Å) after each atom.
Atoms (fractional coordinates):
Tb  0.1989  0.8675  0.3972  3 Dy 3.49-3.50, 9 Tb 3.53-3.56
Tb  0.5364  0.1989  0.3972  3 Dy 3.49-3.50, 9 Tb 3.53-3.56
Tb  0.8675  0.5364  0.3972  3 Dy 3.49-3.50, 9 Tb 3.53-3.56
Tb  0.1325  0.4636  0.6028  3 Dy 3.49-3.50, 9 Tb 3.53-3.56
Tb  0.4636  0.8011  0.6028  3 Dy 3.49-3.50, 9 Tb 3.53-3.56
Tb  0.8011  0.1325  0.6028  3 Dy 3.49-3.50, 9 Tb 3.53-3.56
Dy  0.9346  0.2681  0.1967  2 Tm 3.44-3.45, 3 Tb 3.49-3.50, 6 Dy 3.55
Dy  0.6007  0.9346  0.1967  2 Tm 3.44-3.45, 3 Tb 3.49-3.50, 6 Dy 3.55
Dy  0.2681  0.6007  0.1967  2 Tm 3.44-3.45, 3 Tb 3.49-3.50, 6 Dy 3.55
Dy  0.7319  0.3993  0.8033  2 Tm 3.44-3.45, 3 Tb 3.49-3.50, 6 Dy 3.55
Dy  0.3993  0.0654  0.8033  2 Tm 3.44-3.45, 3 Tb 3.49-3.50, 6 Dy 3.55
Dy  0.0654  0.7319  0.8033  2 Tm 3.44-3.45, 3 Tb 3.49-3.50, 6 Dy 3.55
Tm  0.6667  0.6667  0.0000  6 Dy 3.44-3.45, 3 Tm 3.55
Tm  0.3333  0.3333  0.0000  6 Dy 3.44-3.45, 3 Tm 3.55

Properties
Magnetic moment = 0.00 μB/cell
DOS at the Fermi energy = 9.31 states/eV/f.u.
Crystal system = trigonal
Energy above the most stable polymorph in this dataset = 134 meV per atom
Energy of formation = 0.1443 eV per atom
Volume = 460.8 Å³/cell

=====

# 5
TbDyTm: optimized geometry, PBE.

abc: 3.5139 6.7081 8.5784
angles: 76.32 78.18 74.87
With the nearest neighbours (Å) after each atom.
Atoms (fractional coordinates):
Tb  0.2878  0.5820  0.3820  3 Tm 3.34-3.46, 5 Tb 3.43-3.56, 2 Dy 3.65-3.66
Tb  0.5706  0.0688  0.3327  3 Tm 3.34-3.46, 5 Tb 3.43-3.56, 2 Dy 3.65-3.66
Dy  0.0384  0.4424  0.0210  5 Tm 3.44-3.52, 4 Dy 3.51-3.82, 4 Tb 3.65-3.76
Dy  0.8200  0.2084  0.6936  5 Tm 3.44-3.52, 4 Dy 3.51-3.82, 4 Tb 3.65-3.76
Tm  0.3048  0.9110  0.0221  3 Tm 3.17-3.51, 3 Tb 3.34-3.46, 5 Dy 3.44-3.52
Tm  0.5536  0.7397  0.6926  3 Tm 3.17-3.51, 3 Tb 3.34-3.46, 5 Dy 3.44-3.52

Properties
Magnetic moment = 0.00 μB/cell
DOS at the Fermi energy = 5.52 states/eV/f.u.
Crystal system = triclinic
Energy above the most stable polymorph in this dataset = 16 meV per atom
Energy of formation = 0.0377 eV per atom
Volume = 187.4 Å³/cell

=====

# 6
Tb2Dy5Tm12: optimized geometry, PBE.

abc: 9.1642 8.9284 8.4565
angles: 91.80 90.00 120.88
With the nearest neighbours (Å) after each atom.
Atoms (fractional coordinates):
Tb  0.6746  0.0000  0.0000  1 Tb 3.20, 8 Tm 3.30-3.52, 2 Dy 3.53
Tb  0.3254  0.0000  0.0000  1 Tb 3.20, 8 Tm 3.30-3.52, 2 Dy 3.53
Dy  0.2310  0.4619  0.5726  8 Tm 3.32-3.54, 2 Dy 3.56-3.57
Dy  0.2946  0.5891  0.9819  8 Tm 3.44-3.62, 2 Tb 3.53, 1 Dy 3.56
Dy  0.0000  0.0000  0.5000  10 Tm 3.33-3.70, 2 Dy 3.57
Dy  0.7054  0.4109  0.0181  8 Tm 3.44-3.62, 2 Tb 3.53, 1 Dy 3.56
Dy  0.7690  0.5381  0.4274  8 Tm 3.32-3.54, 2 Dy 3.56-3.57
Tm  0.9238  0.8476  0.1266  3 Tm 3.23-3.45, 3 Dy 3.33-3.54, 2 Tb 3.39
Tm  0.0294  0.7003  0.7588  4 Tm 3.29-3.66, 1 Tb 3.30, 4 Dy 3.44-3.62
Tm  0.6709  0.7003  0.7588  4 Tm 3.29-3.66, 1 Tb 3.30, 4 Dy 3.44-3.62
Tm  0.1796  0.7408  0.3353  4 Dy 3.34-3.70, 5 Tm 3.35-3.50, 1 Tb 3.52
Tm  0.5612  0.7408  0.3353  4 Dy 3.34-3.70, 5 Tm 3.35-3.50, 1 Tb 3.52
Tm  0.4434  0.8869  0.6663  2 Dy 3.32-3.57, 2 Tb 3.33, 7 Tm 3.35-3.45
Tm  0.5566  0.1131  0.3337  2 Dy 3.32-3.57, 2 Tb 3.33, 7 Tm 3.35-3.45
Tm  0.8204  0.2592  0.6647  4 Dy 3.34-3.70, 5 Tm 3.35-3.50, 1 Tb 3.52
Tm  0.4388  0.2592  0.6647  4 Dy 3.34-3.70, 5 Tm 3.35-3.50, 1 Tb 3.52
Tm  0.9706  0.2997  0.2412  4 Tm 3.29-3.66, 1 Tb 3.30, 4 Dy 3.44-3.62
Tm  0.3291  0.2997  0.2412  4 Tm 3.29-3.66, 1 Tb 3.30, 4 Dy 3.44-3.62
Tm  0.0762  0.1524  0.8734  3 Tm 3.23-3.45, 3 Dy 3.33-3.54, 2 Tb 3.39

Properties
Magnetic moment = 0.00 μB/cell
DOS at the Fermi energy = 26.11 states/eV/f.u.
Crystal system = monoclinic
Energy above the most stable polymorph in this dataset = 106 meV per atom
Energy of formation = 0.1288 eV per atom
Volume = 593.5 Å³/cell

=====

# 7
TbDy3Tm4: optimized geometry, PBE.

abc: 6.2157 7.1879 11.1152
angles: 90.00 90.00 90.00
With the nearest neighbours (Å) after each atom.
Atoms (fractional coordinates):
Tb  0.1476  0.3733  0.0000  6 Dy 3.47-3.60, 6 Tm 3.47-3.62
Tb  0.6476  0.6267  0.5000  6 Dy 3.47-3.60, 6 Tm 3.47-3.62
Dy  0.6472  0.6264  0.0000  6 Tm 3.46-3.62, 4 Dy 3.47-3.48, 2 Tb 3.60
Dy  0.9813  0.6267  0.2499  6 Tm 3.47-3.62, 4 Dy 3.47-3.60, 2 Tb 3.47-3.48
Dy  0.4813  0.3733  0.2501  6 Tm 3.47-3.62, 4 Dy 3.47-3.60, 2 Tb 3.47-3.48
Dy  0.1472  0.3736  0.5000  6 Tm 3.46-3.62, 4 Dy 3.47-3.48, 2 Tb 3.60
Dy  0.4813  0.3733  0.7499  6 Tm 3.47-3.62, 4 Dy 3.47-3.60, 2 Tb 3.47-3.48
Dy  0.9813  0.6267  0.7501  6 Tm 3.47-3.62, 4 Dy 3.47-3.60, 2 Tb 3.47-3.48
Tm  0.1478  0.8767  0.0000  6 Tm 3.46-3.58, 4 Dy 3.47-3.59, 2 Tb 3.57-3.62
Tm  0.6484  0.1234  0.0000  6 Tm 3.45-3.58, 4 Dy 3.47-3.62, 2 Tb 3.59
Tm  0.9808  0.1233  0.2504  6 Tm 3.45-3.58, 5 Dy 3.46-3.62, 1 Tb 3.47
Tm  0.4808  0.8767  0.2496  6 Tm 3.45-3.58, 5 Dy 3.46-3.62, 1 Tb 3.47
Tm  0.1484  0.8766  0.5000  6 Tm 3.45-3.58, 4 Dy 3.47-3.62, 2 Tb 3.59
Tm  0.6478  0.1233  0.5000  6 Tm 3.46-3.58, 4 Dy 3.47-3.59, 2 Tb 3.57-3.62
Tm  0.4808  0.8767  0.7504  6 Tm 3.45-3.58, 5 Dy 3.46-3.62, 1 Tb 3.47
Tm  0.9808  0.1233  0.7496  6 Tm 3.45-3.58, 5 Dy 3.46-3.62, 1 Tb 3.47

Properties
Magnetic moment = 0.00 μB/cell
DOS at the Fermi energy = 13.18 states/eV/f.u.
Crystal system = orthorhombic
Energy above the most stable polymorph in this dataset = 0 meV per atom
Energy of formation = 0.0024 eV per atom
Volume = 496.6 Å³/cell

=====

# 8
TbDy7Tm4: optimized geometry, PBE.

abc: 3.5191 3.5191 34.4032
angles: 90.00 90.00 120.00
With the nearest neighbours (Å) after each atom.
Atoms (fractional coordinates):
Tb  0.0000  0.0000  0.5000  6 Tb 3.52, 6 Dy 3.54
Dy  0.0000  0.0000  0.0000  6 Tm 3.50, 6 Dy 3.52
Dy  0.6667  0.3333  0.5843  3 Tm 3.50, 6 Dy 3.52, 3 Tb 3.54
Dy  0.3333  0.6667  0.4157  3 Tm 3.50, 6 Dy 3.52, 3 Tb 3.54
Dy  0.6667  0.3333  0.8341  3 Tm 3.50, 9 Dy 3.52-3.54
Dy  0.3333  0.6667  0.1659  3 Tm 3.50, 9 Dy 3.52-3.54
Dy  0.0000  0.0000  0.2500  3 Tm 3.50, 9 Dy 3.52-3.54
Dy  0.0000  0.0000  0.7500  3 Tm 3.50, 9 Dy 3.52-3.54
Tm  0.6667  0.3333  0.0830  6 Dy 3.50, 6 Tm 3.52
Tm  0.3333  0.6667  0.9170  6 Dy 3.50, 6 Tm 3.52
Tm  0.6667  0.3333  0.3329  6 Dy 3.50, 6 Tm 3.52
Tm  0.3333  0.6667  0.6671  6 Dy 3.50, 6 Tm 3.52

Properties
Magnetic moment = 0.00 μB/cell
DOS at the Fermi energy = 17.32 states/eV/f.u.
Crystal system = trigonal
Energy above the most stable polymorph in this dataset = 24 meV per atom
Energy of formation = 0.0218 eV per atom
Volume = 369.0 Å³/cell

=====

# 9
Tb4Dy5Tm2: optimized geometry, PBE.

abc: 3.6376 9.7924 12.0692
angles: 119.66 81.32 111.85
With the nearest neighbours (Å) after each atom.
Atoms (fractional coordinates):
Tb  0.7399  0.4095  0.3397  1 Tm 3.50, 5 Dy 3.64-3.70, 6 Tb 3.64-3.83
Tb  0.3141  0.3371  0.0467  4 Tm 3.32-3.48, 3 Dy 3.37-3.50, 5 Tb 3.63-3.71
Tb  0.2601  0.5905  0.6603  1 Tm 3.50, 5 Dy 3.64-3.70, 6 Tb 3.64-3.83
Tb  0.6859  0.6629  0.9533  4 Tm 3.32-3.48, 3 Dy 3.37-3.50, 5 Tb 3.63-3.71
Dy  0.8973  0.0229  0.2520  6 Dy 3.39-3.64, 2 Tm 3.42, 3 Tb 3.50-3.64
Dy  0.1027  0.9771  0.7480  6 Dy 3.39-3.64, 2 Tm 3.42, 3 Tb 3.50-3.64
Dy  0.5750  0.8127  0.4750  2 Tm 3.35, 6 Dy 3.39-3.65, 3 Tb 3.64-3.70
Dy  0.5000  0.0000  0.0000  4 Tb 3.37, 6 Dy 3.43-3.64
Dy  0.4250  0.1873  0.5250  2 Tm 3.35, 6 Dy 3.39-3.65, 3 Tb 3.64-3.70
Tm  0.9233  0.3194  0.7919  5 Tb 3.32-3.50, 4 Dy 3.35-3.42, 2 Tm 3.64
Tm  0.0767  0.6806  0.2081  5 Tb 3.32-3.50, 4 Dy 3.35-3.42, 2 Tm 3.64

Properties
Magnetic moment = 0.00 μB/cell
DOS at the Fermi energy = 14.85 states/eV/f.u.
Crystal system = monoclinic
Energy above the most stable polymorph in this dataset = 0 meV per atom
Energy of formation = 0.0633 eV per atom
Volume = 346.5 Å³/cell

=====

Q: The highest DOS at the Fermi energy belongs to which entry?
A: Tb2Dy5Tm12

=====

Q: Which value of energy of formation does entry 6 give?
A: 0.1288 eV per atom

=====

Q: Which of these has the highest energy above the most stable polymorph in this dataset?
A: Tb3Dy3Tm

=====

Q: energy above the most stable polymorph in this dataset of number 4 (Tb3Dy3Tm)?
A: 134 meV per atom